--- A ---
Computed, not measured: a relaxed structure of La2TbHf at the PBE level of DFT.

abc: 3.384 3.384 37.110
angles: 90.00 90.00 120.00
Sites, in units of the cell vectors:
La: 0.000 0.000 0.083
La: 0.000 0.000 0.917
La: 0.333 0.667 0.584
La: 0.333 0.667 0.749
La: 0.667 0.333 0.251
La: 0.667 0.333 0.416
Tb: 0.000 0.000 0.500
Tb: 0.333 0.667 0.167
Tb: 0.667 0.333 0.833
Hf: 0.000 0.000 0.000
Hf: 0.333 0.667 0.667
Hf: 0.667 0.333 0.333

Summary:
Volume   367.9 Å³ per cell
Symmetry   R-3m, No. 166

=====

--- B ---
Computed, not measured: a relaxed structure of La2TbHf at the PBE level of DFT.

abc: 4.080 4.080 7.466
angles: 90.00 90.00 90.00
Sites, in units of the cell vectors:
La: 0.000 0.000 0.225
La: 0.000 0.000 0.775
Tb: 0.500 0.500 0.500
Hf: 0.500 0.500 0.000

Summary:
Volume   124.3 Å³ per cell
Symmetry   P4/mmm, No. 123

=====

Most stable to least stable: B, A

=====

--- A ---
Computed, not measured: a relaxed structure of La2HfTc at the PBE level of DFT.

abc: 7.379 7.379 7.379
angles: 90.00 90.00 90.00
Sites, in units of the cell vectors:
La: 0.250 0.250 0.250
La: 0.250 0.250 0.750
La: 0.250 0.750 0.250
La: 0.250 0.750 0.750
La: 0.750 0.250 0.250
La: 0.750 0.250 0.750
La: 0.750 0.750 0.250
La: 0.750 0.750 0.750
Hf: 0.000 0.000 0.000
Hf: 0.000 0.500 0.500
Hf: 0.500 0.000 0.500
Hf: 0.500 0.500 0.000
Tc: 0.000 0.000 0.500
Tc: 0.000 0.500 0.000
Tc: 0.500 0.000 0.000
Tc: 0.500 0.500 0.500

Summary:
Volume   401.8 Å³ per cell
Symmetry   Fm-3m, No. 225

=====

--- B ---
Computed, not measured: a relaxed structure of La2HfTc at the PBE level of DFT.

abc: 9.737 9.737 5.243
angles: 90.00 90.00 90.00
Sites, in units of the cell vectors:
La: 0.127 0.250 0.125
La: 0.250 0.627 0.375
La: 0.250 0.873 0.875
La: 0.373 0.250 0.625
La: 0.627 0.750 0.625
La: 0.750 0.127 0.875
La: 0.750 0.373 0.375
La: 0.873 0.750 0.125
Hf: 0.000 0.000 0.500
Hf: 0.000 0.500 0.750
Hf: 0.500 0.000 0.250
Hf: 0.500 0.500 0.000
Tc: 0.000 0.000 0.000
Tc: 0.000 0.500 0.250
Tc: 0.500 0.000 0.750
Tc: 0.500 0.500 0.500

Summary:
Volume   497.0 Å³ per cell
Symmetry   I-42d, No. 122

=====

Most stable to least stable: A, B

=====

--- A ---
Computed, not measured: a relaxed structure of LaHfTc3 at the PBE level of DFT.

abc: 4.730 4.730 4.730
angles: 90.00 90.00 90.00
Sites, in units of the cell vectors:
La: 0.000 0.000 0.000
Hf: 0.500 0.500 0.500
Tc: 0.000 0.000 0.500
Tc: 0.000 0.500 0.000
Tc: 0.500 0.000 0.000

Summary:
Volume   105.8 Å³ per cell
Symmetry   Pm-3m, No. 221

=====

--- B ---
Computed, not measured: a relaxed structure of LaHfTc3 at the PBE level of DFT.

abc: 4.875 4.875 4.875
angles: 90.00 90.00 90.00
Sites, in units of the cell vectors:
La: 0.000 0.000 0.000
Hf: 0.500 0.500 0.500
Tc: 0.000 0.500 0.500
Tc: 0.500 0.000 0.500
Tc: 0.500 0.500 0.000

Summary:
Volume   115.8 Å³ per cell
Symmetry   Pm-3m, No. 221

=====

Most stable to least stable: B, A

=====

--- A ---
Computed, not measured: a relaxed structure of LaHfTc2 at the PBE level of DFT.

abc: 6.782 6.782 6.782
angles: 90.00 90.00 90.00
Sites, in units of the cell vectors:
La: 0.000 0.000 0.000
La: 0.000 0.500 0.500
La: 0.500 0.000 0.500
La: 0.500 0.500 0.000
Hf: 0.000 0.000 0.500
Hf: 0.000 0.500 0.000
Hf: 0.500 0.000 0.000
Hf: 0.500 0.500 0.500
Tc: 0.250 0.250 0.250
Tc: 0.250 0.250 0.750
Tc: 0.250 0.750 0.250
Tc: 0.250 0.750 0.750
Tc: 0.750 0.250 0.250
Tc: 0.750 0.250 0.750
Tc: 0.750 0.750 0.250
Tc: 0.750 0.750 0.750

Summary:
Volume   311.9 Å³ per cell
Symmetry   Fm-3m, No. 225

=====

--- B ---
Computed, not measured: a relaxed structure of LaHfTc2 at the PBE level of DFT.

abc: 4.843 4.843 18.071
angles: 90.00 90.00 90.00
Sites, in units of the cell vectors:
La: 0.000 0.000 0.000
La: 0.000 0.500 0.250
La: 0.500 0.000 0.750
La: 0.500 0.500 0.500
Hf: 0.000 0.000 0.500
Hf: 0.000 0.500 0.750
Hf: 0.500 0.000 0.250
Hf: 0.500 0.500 0.000
Tc: 0.033 0.750 0.625
Tc: 0.250 0.033 0.375
Tc: 0.250 0.467 0.875
Tc: 0.467 0.750 0.125
Tc: 0.533 0.250 0.125
Tc: 0.750 0.533 0.875
Tc: 0.750 0.967 0.375
Tc: 0.967 0.250 0.625

Summary:
Volume   423.8 Å³ per cell
Symmetry   I-42d, No. 122

=====

Most stable to least stable: A, B

=====

--- A ---
Computed, not measured: a relaxed structure of La3HfTe at the PBE level of DFT.

abc: 5.907 5.907 5.907
angles: 90.00 90.00 90.00
Sites, in units of the cell vectors:
La: 0.000 0.000 0.500
La: 0.000 0.500 0.000
La: 0.500 0.000 0.000
Hf: 0.500 0.500 0.500
Te: 0.000 0.000 0.000

Summary:
Volume   206.1 Å³ per cell
Symmetry   Pm-3m, No. 221

=====

--- B ---
Computed, not measured: a relaxed structure of La3HfTe at the PBE level of DFT.

abc: 5.671 5.671 5.671
angles: 90.00 90.00 90.00
Sites, in units of the cell vectors:
La: 0.000 0.000 0.500
La: 0.000 0.500 0.000
La: 0.500 0.000 0.000
Hf: 0.000 0.000 0.000
Te: 0.500 0.500 0.500

Summary:
Volume   182.4 Å³ per cell
Symmetry   Pm-3m, No. 221

=====

Most stable to least stable: B, A

=====

--- A ---
Computed, not measured: a relaxed structure of La2Hf2Te at the PBE level of DFT.

abc: 4.177 4.177 16.115
angles: 90.00 90.00 90.00
Sites, in units of the cell vectors:
La: 0.000 0.500 0.250
La: 0.000 0.500 0.750
La: 0.500 0.000 0.250
La: 0.500 0.000 0.750
Hf: 0.000 0.000 0.084
Hf: 0.000 0.000 0.916
Hf: 0.500 0.500 0.416
Hf: 0.500 0.500 0.584
Te: 0.000 0.000 0.500
Te: 0.500 0.500 0.000

Summary:
Volume   281.1 Å³ per cell
Symmetry   I4/mmm, No. 139

=====

--- B ---
Computed, not measured: a relaxed structure of La2Hf2Te at the PBE level of DFT.

abc: 7.616 7.616 4.905
angles: 90.00 90.00 90.00
Sites, in units of the cell vectors:
La: 0.169 0.331 0.000
La: 0.331 0.831 0.000
La: 0.669 0.169 0.000
La: 0.831 0.669 0.000
Hf: 0.135 0.635 0.500
Hf: 0.365 0.135 0.500
Hf: 0.635 0.865 0.500
Hf: 0.865 0.365 0.500
Te: 0.000 0.000 0.500
Te: 0.500 0.500 0.500

Summary:
Volume   284.5 Å³ per cell
Symmetry   P4/mbm, No. 127

=====

Most stable to least stable: B, A